Record 1
## NiOs2Ru (PBE)

Data for a relaxed NiOs2Ru crystal.

## Properties
symmetry = P4mm
energy of formation = 0.71 eV/f.u.

Cell: 2.7048 2.7048 7.3857 Å, 90.00 90.00 90.00°
With the nearest neighbours (Å) after each atom.
Fractional coordinates of all 4 atoms:
Ru1 0.0000 0.0000 0.5081  4 Ni 2.62, 4 Os 2.70, 4 Ru 2.70
Os1 0.0000 0.0000 0.9909  4 Ni 2.61, 8 Os 2.70-2.71
Ni1 0.5000 0.5000 0.7510  4 Os 2.61, 4 Ru 2.62, 4 Ni 2.70
Os2 0.5000 0.5000 0.2501  4 Ru 2.70, 8 Os 2.70-2.71


Record 2
## NiOsRu (PBE)

Data for a relaxed NiOsRu crystal.

## Properties
symmetry = Cc
energy of formation = 0.16 eV/f.u.

Cell: 5.1223 4.5984 7.9662 Å, 90.00 123.08 90.00°
With the nearest neighbours (Å) after each atom.
Fractional coordinates of all 12 atoms:
Os1 0.1525 0.3359 0.6920  5 Ni 2.59-2.67, 5 Ru 2.62-2.69, 2 Os 2.68
Ni1 0.1541 0.3339 0.3615  5 Os 2.59-2.67, 5 Ru 2.60-2.67, 2 Ni 2.67
Ru1 0.1532 0.8355 0.5301  5 Ni 2.60-2.67, 5 Os 2.62-2.69, 2 Ru 2.68
Os2 0.1525 0.8359 0.1920  5 Ni 2.59-2.67, 5 Ru 2.62-2.69, 2 Os 2.68
Ru2 0.6532 0.1645 0.0301  5 Ni 2.60-2.67, 5 Os 2.62-2.69, 2 Ru 2.68
Os3 0.6525 0.6641 0.1920  5 Ni 2.59-2.67, 5 Ru 2.62-2.69, 2 Os 2.68
Ni2 0.1541 0.8339 0.8615  5 Os 2.59-2.67, 5 Ru 2.60-2.67, 2 Ni 2.67
Ni3 0.6541 0.1661 0.3615  5 Os 2.59-2.67, 5 Ru 2.60-2.67, 2 Ni 2.67
Ni4 0.6541 0.6661 0.8615  5 Os 2.59-2.67, 5 Ru 2.60-2.67, 2 Ni 2.67
Os4 0.6525 0.1641 0.6920  5 Ni 2.59-2.67, 5 Ru 2.62-2.69, 2 Os 2.68
Ru3 0.6532 0.6645 0.5301  5 Ni 2.60-2.67, 5 Os 2.62-2.69, 2 Ru 2.68
Ru4 0.1532 0.3355 0.0301  5 Ni 2.60-2.67, 5 Os 2.62-2.69, 2 Ru 2.68


Record 3
## NiOs3Ru (PBE)

Data for a relaxed NiOs3Ru crystal.

## Properties
symmetry = Pm-3m
energy of formation = 9.95 eV/f.u.

Cell: 4.3437 4.3437 4.3437 Å, 90.00 90.00 90.00°
With the nearest neighbours (Å) after each atom.
Fractional coordinates of all 5 atoms:
Ni1 0.0000 0.0000 0.0000  6 Os 2.17
Ru1 0.5000 0.5000 0.5000  12 Os 3.07
Os1 0.5000 0.0000 0.0000  2 Ni 2.17
Os2 0.0000 0.0000 0.5000  2 Ni 2.17
Os3 0.0000 0.5000 0.0000  2 Ni 2.17


Record 4
## NiOsRu (PBE)

Data for a relaxed NiOsRu crystal.

## Properties
symmetry = F-43m
energy of formation = 1.96 eV/f.u.

Cell: 4.0669 4.0669 4.0669 Å, 60.00 60.00 60.00°
With the nearest neighbours (Å) after each atom.
Fractional coordinates of all 3 atoms:
Ru1 0.0000 0.0000 0.0000  4 Os 2.49
Os1 0.7500 0.7500 0.7500  4 Ru 2.49, 4 Ni 2.49
Ni1 0.5000 0.5000 0.5000  4 Os 2.49


Number 1: total moment 0.0 μB per formula unit, ΔE to the lowest computed polymorph 0.039 eV per atom, E -9.20 eV per atom. Number 2: total moment 0.0 μB per formula unit, ΔE to the lowest computed polymorph 0.008 eV per atom, E -8.71 eV per atom. Number 3: total moment 0.0 μB per formula unit, ΔE to the lowest computed polymorph 0.000 eV per atom, E -7.76 eV per atom. Number 4: total moment 1.0 μB per formula unit, ΔE to the lowest computed polymorph 0.609 eV per atom, E -8.11 eV per atom.